No. 1
Entry from the Alexandria database: crystalline AgSbP2Cl at its relaxed geometry (GGA-PBEsol).

abc: 4.7327 4.7834 4.7834
angles: 90.00 90.00 90.00
With the nearest neighbours (Å) after each atom.
Atoms (fractional coordinates):
Sb 0.5000 0.5000 0.5000  8 P 3.36, 4 Cl 3.38
P 0.0000 0.0000 0.5000  2 Ag 2.39
P 0.0000 0.5000 0.0000  2 Ag 2.39
Ag 0.0000 0.0000 0.0000  2 Cl 2.37, 4 P 2.39
Cl 0.5000 0.0000 0.0000  2 Ag 2.37

calculated density = 5.01 g/cm3
offset from the most stable computed form = 0 meV per atom
ΔE_f (raw) = 0.710 eV per atom

***

No. 2
Entry from the Alexandria database: crystalline CrCuHg2 at its relaxed geometry (GGA-PBEsol).

abc: 3.0429 3.0429 9.0100
angles: 80.28 80.28 60.00
With the nearest neighbours (Å) after each atom.
Atoms (fractional coordinates):
Cr 0.5082 0.5082 0.4755  3 Cu 2.55, 3 Hg 2.85
Hg 0.9906 0.9906 0.0283  3 Cu 2.75, 6 Hg 3.04
Hg 0.7570 0.7570 0.7291  3 Cr 2.85, 9 Hg 3.04-3.17
Cu 0.2443 0.2443 0.2671  3 Cr 2.55, 3 Hg 2.75

calculated density = 12.11 g/cm3
offset from the most stable computed form = 145 meV per atom
formation energy from the elements = 0.47 eV per atom

***

No. 3
Entry from the Alexandria database: crystalline InSnIr2Se at its relaxed geometry (GGA-PBEsol).

abc: 4.5748 4.5748 5.4974
angles: 90.00 90.00 90.00
With the nearest neighbours (Å) after each atom.
Atoms (fractional coordinates):
Se 0.0000 0.0000 0.0000  4 Ir 2.29
In 0.5000 0.5000 0.5000  4 Sn 3.23, 8 Ir 3.58
Sn 0.0000 0.0000 0.5000  2 Se 2.75
Ir 0.0000 0.5000 0.0000  2 Se 2.29
Ir 0.5000 0.0000 0.0000  2 Se 2.29

calculated density = 10.06 g/cm3
ΔE_f (raw) = 0.993 eV per atom

***

No. 4
Entry from the Alexandria database: crystalline MgH10Se2O10 at its relaxed geometry (GGA-PBEsol).

abc: 7.4508 8.1409 9.4696
angles: 77.05 66.83 62.77
With the nearest neighbours (Å) after each atom.
Atoms (fractional coordinates):
O 0.6133 0.6494 0.0418  2 H 1.00-1.01
O 0.1883 0.1890 0.5178  1 H 1.59, 1 Se 1.69
O 0.3046 0.8506 0.4582  2 H 1.00-1.01
O 0.3108 0.2500 0.7500  2 H 1.00
O 0.5614 0.8032 0.7728  1 H 1.05
O 0.1374 0.6968 0.7272  1 H 1.05
O 0.8951 0.3110 0.9822  1 H 1.59, 1 Se 1.69
O 0.4386 0.1968 0.2272  1 H 1.05
O 0.2299 0.7500 0.2500  2 H 1.01
O 0.8626 0.3032 0.2728  1 H 1.05
O 0.8117 0.8110 0.4822  1 H 1.59, 1 Se 1.69
O 0.6892 0.7500 0.2500  2 H 1.00
O 0.1602 0.9628 0.8173  1 H 1.51
O 0.0597 0.4628 0.3173  1 H 1.51
O 0.1049 0.6890 0.0178  1 H 1.59, 1 Se 1.69
O 0.9403 0.5372 0.6827  1 H 1.51
O 0.8398 0.0372 0.1827  1 H 1.51
O 0.6954 0.1494 0.5418  2 H 1.00-1.01
O 0.7701 0.2500 0.7500  2 H 1.01
O 0.3867 0.3506 0.9582  2 H 1.00-1.01
H 0.0453 0.6373 0.7158  1 O 1.05
H 0.6016 0.1373 0.2158  1 O 1.05
H 0.3984 0.8627 0.7842  1 O 1.05
H 0.2470 0.7913 0.5603  1 O 1.00
H 0.5485 0.7850 0.3367  1 O 1.00
H 0.4515 0.2150 0.6633  1 O 1.00
H 0.7450 0.0147 0.5245  1 O 1.01
H 0.6702 0.7150 0.1633  1 O 1.00
H 0.3298 0.2850 0.8367  1 O 1.00
H 0.7544 0.2046 0.6662  1 O 1.01
H 0.3748 0.7046 0.1662  1 O 1.01
H 0.7159 0.5147 0.0245  1 O 1.01
H 0.2841 0.4853 0.9755  1 O 1.01
H 0.2456 0.7954 0.3338  1 O 1.01
H 0.6252 0.2954 0.8338  1 O 1.01
H 0.4014 0.2913 0.0603  1 O 1.00
H 0.9547 0.3627 0.2842  1 O 1.05
H 0.7530 0.2087 0.4397  1 O 1.00
H 0.5986 0.7087 0.9397  1 O 1.00
H 0.2550 0.9853 0.4755  1 O 1.01
Mg 0.9582 0.7500 0.2500  6 O 2.00-2.13
Mg 0.0418 0.2500 0.7500  6 O 2.00-2.13
Se 0.7318 0.6578 0.6136  3 O 1.69-1.79
Se 0.2682 0.3422 0.3864  3 O 1.69-1.79
Se 0.9968 0.1578 0.1136  3 O 1.69-1.79
Se 0.0032 0.8422 0.8864  3 O 1.69-1.79

calculated density = 2.50 g/cm3

***

No. 5
Entry from the Alexandria database: crystalline Be2PBr at its relaxed geometry (GGA-PBEsol).

abc: 3.5294 3.5294 6.3886
angles: 73.97 73.97 60.00
With the nearest neighbours (Å) after each atom.
Atoms (fractional coordinates):
Be 0.8813 0.8813 0.3561  1 Br 2.16, 3 P 2.22
Be 0.1187 0.1187 0.6439  1 Br 2.16, 3 P 2.22
Br 0.0000 0.0000 0.0000  2 Be 2.16
P 0.5000 0.5000 0.5000  6 Be 2.22

calculated density = 3.28 g/cm3
offset from the most stable computed form = 73 meV per atom
ΔE_f (raw) = -0.318 eV per atom

***

No. 6
Entry from the Alexandria database: crystalline CdReAs2Br at its relaxed geometry (GGA-PBEsol).

abc: 5.0493 5.0493 5.1470
angles: 90.00 90.00 90.00
With the nearest neighbours (Å) after each atom.
Atoms (fractional coordinates):
Br 0.0000 0.0000 0.5000  2 Cd 2.57
As 0.5000 0.0000 0.0000  2 Cd 2.52
As 0.0000 0.5000 0.0000  2 Cd 2.52
Re 0.5000 0.5000 0.5000  4 Br 3.57, 8 As 3.61
Cd 0.0000 0.0000 0.0000  4 As 2.52, 2 Br 2.57

calculated density = 6.69 g/cm3
ΔE_f (raw) = 1.786 eV per atom

***

No. 7
Entry from the Alexandria database: crystalline SrTaW at its relaxed geometry (GGA-PBEsol).

abc: 3.4037 3.4037 6.4800
angles: 105.23 105.23 90.00
With the nearest neighbours (Å) after each atom.
Atoms (fractional coordinates):
Ta 0.2923 0.2923 0.5846  4 W 2.64
Sr 0.0059 0.0059 0.0119  5 W 3.37-3.66, 4 Sr 3.40, 5 Ta 3.45-3.52
W 0.7017 0.7017 0.4035  4 Ta 2.64

calculated density = 10.78 g/cm3
offset from the most stable computed form = 0 meV per atom
formation energy from the elements = 0.73 eV per atom

***

No. 8
Entry from the Alexandria database: crystalline In2ReCl at its relaxed geometry (GGA-PBEsol).

abc: 2.9949 2.9949 9.0480
angles: 90.00 90.00 90.00
With the nearest neighbours (Å) after each atom.
Atoms (fractional coordinates):
Cl 0.5000 0.5000 0.6734  4 Re 2.54
Re 0.0000 0.0000 0.5181  4 Cl 2.54
In 0.0000 0.0000 0.0094  4 In 2.99
In 0.5000 0.5000 0.2991  4 Re 2.90, 4 In 2.99

calculated density = 9.23 g/cm3
ΔE_f (raw) = 0.496 eV per atom

***

No. 9
Entry from the Alexandria database: crystalline MnSe2Cl at its relaxed geometry (GGA-PBEsol).

abc: 3.3566 3.3566 6.6800
angles: 90.00 90.00 89.99
With the nearest neighbours (Å) after each atom.
Atoms (fractional coordinates):
Se 0.0000 0.0000 0.8147  1 Se 2.48, 4 Mn 2.68
Se 0.0000 0.0000 0.1853  1 Se 2.48, 4 Mn 2.68
Mn 0.5000 0.5000 0.0000  8 Se 2.68
Cl 0.5000 0.5000 0.5000  8 Se 3.17, 2 Mn 3.34, 4 Cl 3.36

calculated density = 5.48 g/cm3
offset from the most stable computed form = 252 meV per atom
ΔE_f (raw) = -0.064 eV per atom

***

No. 10
Entry from the Alexandria database: crystalline Tl2PIrRh at its relaxed geometry (GGA-PBEsol).

abc: 4.7027 5.0434 5.0434
angles: 90.00 90.00 90.00
With the nearest neighbours (Å) after each atom.
Atoms (fractional coordinates):
Tl 0.0000 0.5000 0.0000  2 Rh 2.52
Tl 0.0000 0.0000 0.5000  2 Rh 2.52
Rh 0.0000 0.0000 0.0000  2 Ir 2.35, 4 Tl 2.52
Ir 0.5000 0.0000 0.0000  2 Rh 2.35
P 0.5000 0.5000 0.5000  8 Tl 3.45, 4 Ir 3.57

calculated density = 10.20 g/cm3
formation energy from the elements = 1.14 eV per atom

***

No. 11
Entry from the Alexandria database: crystalline CuAuCl at its relaxed geometry (GGA-PBEsol).

abc: 3.1493 3.1493 5.7610
angles: 90.00 90.00 120.00
With the nearest neighbours (Å) after each atom.
Atoms (fractional coordinates):
Au 0.0000 0.0000 0.0340  3 Cu 2.58
Cu 0.6667 0.3333 0.3517  3 Cl 2.37, 3 Au 2.58
Cl 0.3333 0.6667 0.6143  3 Cu 2.37

calculated density = 9.93 g/cm3
offset from the most stable computed form = 0 meV per atom
ΔE_f (raw) = -0.016 eV per atom

***

No. 12
Entry from the Alexandria database: crystalline PmEr3 at its relaxed geometry (GGA-PBEsol).

abc: 5.5421 7.0634 7.0634
angles: 120.00 90.00 90.00
With the nearest neighbours (Å) after each atom.
Atoms (fractional coordinates):
Pm 0.7500 0.3333 0.6667  12 Er 3.45-3.53
Pm 0.2500 0.6667 0.3333  12 Er 3.45-3.53
Er 0.7500 0.8343 0.6687  8 Er 3.43-3.55, 4 Pm 3.45-3.53
Er 0.2500 0.6687 0.8343  8 Er 3.43-3.55, 4 Pm 3.45-3.53
Er 0.2500 0.1657 0.3313  8 Er 3.43-3.55, 4 Pm 3.45-3.53
Er 0.7500 0.3313 0.1657  8 Er 3.43-3.55, 4 Pm 3.45-3.53
Er 0.2500 0.1657 0.8343  8 Er 3.43-3.55, 4 Pm 3.45-3.53
Er 0.7500 0.8343 0.1657  8 Er 3.43-3.55, 4 Pm 3.45-3.53

calculated density = 8.97 g/cm3
offset from the most stable computed form = 0 meV per atom
formation energy from the elements = 0.01 eV per atom

***

Values for total DFT energy (no corrections), eV per atom, ordered as above
-3.5822, -3.4581, -5.1544, -5.2959, -4.2331, -3.5367, -8.6677, -4.8307, -4.9314, -4.6613, -3.4378, -4.9659